Entry 1:
The following is a DFT calculation (PBE) of BPO2 after structural relaxation.

The space-group type is I-42d, No. 122. The value obtained for the energy is -50.71 eV/cell. The calculation puts the total magnetic moment at 0.00 μB per cell.

POSCAR file:
```
BPO2
1.0
-2.2756 2.2756 3.5662
2.2756 -2.2756 3.5662
2.2756 2.2756 -3.5662
B P O
2 2 4
direct
0.0000 0.0000 0.0000
0.7500 0.2500 0.5000
0.2500 0.7500 0.5000
0.5000 0.5000 0.0000
0.3750 0.2008 0.3258
0.7992 0.1250 0.1742
0.8750 0.0492 0.6742
0.9508 0.6250 0.8258
```

---

Entry 2:
The following is a DFT calculation (PBE) of BPO2 after structural relaxation.

The space-group type is Fm-3m, No. 225. The value obtained for the energy is -17.93 eV/cell. The calculation puts the total magnetic moment at 0.00 μB per cell.

POSCAR file:
```
BPO2
1.0
0.0000 2.6317 2.6317
2.6317 0.0000 2.6317
2.6317 2.6317 0.0000
B P O
1 1 2
direct
0.0000 0.0000 0.0000
0.5000 0.5000 0.5000
0.2500 0.2500 0.2500
0.7500 0.7500 0.7500
```